# 1
The following is a GGA-PBE calculation of a geometry-optimized LiTiSi2Hg structure, from Alexandria via LeMat-Bulk.

As for the uncorrected formation energy: 3.23 eV per formula unit. The calculation puts the size of the total moment at 0.866 μB per formula unit. For the total energy, the calculation gives -3.545 eV/atom. As for the crystal system: tetragonal. The density of states at the Fermi level is 1.082 states/eV per atom.

Unit cell a=4.796 b=5.450 c=4.796 alpha=90.00 beta=90.00 gamma=90.00
Each line ends with the local moment (μB).
Fractional positions:
Si 0.000 0.000 0.500  0.00
Si 0.500 0.000 0.000  -0.01
Hg 0.500 0.500 0.500  0.00
Ti 0.000 0.000 0.000  0.56
Li 0.000 0.500 0.000  0.06

# 2
The following is a GGA-PBE calculation of a geometry-optimized LiTiSiHg2 structure, from Alexandria via LeMat-Bulk.

As for the uncorrected formation energy: 1.83 eV per formula unit. The calculation puts the size of the total moment at 0.000 μB per formula unit. For the total energy, the calculation gives -2.800 eV/atom. As for the crystal system: tetragonal. The density of states at the Fermi level is 0.597 states/eV per atom.

Unit cell a=4.989 b=4.764 c=4.989 alpha=90.00 beta=90.00 gamma=90.00
Fractional positions:
Li 0.500 0.500 0.500
Hg 0.000 0.000 0.500
Hg 0.500 0.000 0.000
Ti 0.000 0.500 0.000
Si 0.000 0.000 0.000

# 3
The following is a GGA-PBE calculation of a geometry-optimized LiYSiHg structure, from Alexandria via LeMat-Bulk.

As for the uncorrected formation energy: -1.58 eV per formula unit. The calculation puts the size of the total moment at 0.000 μB per formula unit. For the total energy, the calculation gives -3.920 eV/atom. As for the crystal system: cubic. The density of states at the Fermi level is 0.325 states/eV per atom.

Unit cell a=4.907 b=4.907 c=4.907 alpha=60.00 beta=60.00 gamma=60.00
Fractional positions:
Si 0.750 0.750 0.750
Y 0.500 0.500 0.500
Hg 0.250 0.250 0.250
Li 0.000 0.000 0.000

# 4
The following is a GGA-PBE calculation of a geometry-optimized Li2ZrSiHg structure, from Alexandria via LeMat-Bulk.

As for the uncorrected formation energy: 0.27 eV per formula unit. The calculation puts the size of the total moment at 0.000 μB per formula unit. For the total energy, the calculation gives -3.566 eV/atom. As for the crystal system: tetragonal. The density of states at the Fermi level is 0.871 states/eV per atom.

Unit cell a=4.611 b=5.135 c=4.611 alpha=90.00 beta=90.00 gamma=90.00
Fractional positions:
Li 0.500 0.000 0.000
Li 0.000 0.000 0.500
Si 0.000 0.000 0.000
Hg 0.500 0.500 0.500
Zr 0.000 0.500 0.000